1.
First-principles (PBE-GGA) data for a relaxed structure of Sm2SCl2O, as listed in the Alexandria database.

The raw formation energy comes out at -15.4 eV/f.u. As for the total moment: 0.00 μB/f.u. For the total DFT energy (no corrections), the calculation gives -6.27 eV per atom.

The space group is Pmc2_1 (No. 26) and the conventional cell measures 3.917, 10.882 and 7.168 Å, with angles of 90.00, 90.00 and 90.00 degrees. The distinct sites, in fractional coordinates, are Sm at (0.000, 0.066, 0.000), Sm at (0.500, 0.235, 0.401), S at (0.500, 0.070, 0.691), Cl at (0.000, 0.396, 0.526), Cl at (0.500, 0.266, 0.023) and O at (0.000, 0.128, 0.330).

***

2.
First-principles (PBE-GGA) data for a relaxed structure of NiPtCl, as listed in the Alexandria database.

For the relative energy among the computed polymorphs, the calculation gives 54.0 meV/atom. The raw formation energy comes out at 0.1 eV/f.u. As for the total moment: 1.03 μB/f.u. For the total DFT energy (no corrections), the calculation gives -4.53 eV per atom.

The space group is P1 (No. 1) and the conventional cell measures 3.463, 3.567 and 9.380 Å, with angles of 79.13, 89.77 and 90.00 degrees. The distinct sites, in fractional coordinates, are Ni at (0.000, 0.000, 0.000), Ni at (0.500, 0.499, 0.002), Pt at (0.498, 0.902, 0.197), Pt at (0.995, 0.343, 0.316), Cl at (0.501, 0.084, 0.831) and Cl at (0.996, 0.756, 0.493).

***

3.
First-principles (PBE-GGA) data for a relaxed structure of BaSbAu, as listed in the Alexandria database.

The raw formation energy comes out at -2.5 eV/f.u. As for the total moment: 0.00 μB/f.u. For the total DFT energy (no corrections), the calculation gives -3.94 eV per atom.

The space group is Immm (No. 71) and the conventional cell measures 4.783, 8.607 and 9.433 Å, with angles of 90.00, 90.00 and 90.00 degrees. The distinct sites, in fractional coordinates, are Ba at (0.000, 0.000, 0.244), Sb at (0.000, 0.328, 0.000) and Au at (0.000, 0.339, 0.500).

***

4.
First-principles (PBE-GGA) data for a relaxed structure of TmMgIn2, as listed in the Alexandria database.

As for the total moment: 0.00 μB/f.u. Its formation enthalpy at 0 K is -258 meV per atom. For the total DFT energy (no corrections), the calculation gives -3.14 eV per atom.

The space group is P4/mmm (No. 123) and the conventional cell measures 3.654, 3.654 and 7.285 Å, with angles of 90.00, 90.00 and 90.00 degrees. The distinct sites, in fractional coordinates, are Tm at (0.000, 0.000, 0.000), Mg at (0.000, 0.000, 0.500) and In at (0.500, 0.500, 0.269).

***

5.
First-principles (PBE-GGA) data for a relaxed structure of Sr2ZnI, as listed in the Alexandria database.

For the relative energy among the computed polymorphs, the calculation gives 16.0 meV/atom. The raw formation energy comes out at -2.7 eV/f.u. As for the total moment: 0.35 μB/f.u. For the total DFT energy (no corrections), the calculation gives -2.21 eV per atom.

The space group is R3m (No. 160, hexagonal axes) and the conventional cell measures 4.4594, 4.4594 and 26.5682 Å, with angles of 90.00, 90.00 and 120.00 degrees. The distinct sites, in fractional coordinates, are Sr at (0.0000, 0.0000, 0.0000), Sr at (0.0000, 0.0000, 0.1897), Zn at (0.0000, 0.0000, 0.5944) and I at (0.0000, 0.0000, 0.7631).

***

6.
First-principles (PBE-GGA) data for a relaxed structure of Cr7Tc, as listed in the Alexandria database.

For the relative energy among the computed polymorphs, the calculation gives 0.0 meV/atom. As for the total moment: 0.00 μB/f.u. Its formation enthalpy at 0 K is 19 meV per atom. For the total DFT energy (no corrections), the calculation gives -9.70 eV per atom.

The space group is R-3m (No. 166, hexagonal axes) and the conventional cell measures 8.1505, 8.1505 and 10.0229 Å, with angles of 90.00, 90.00 and 120.00 degrees. The distinct sites, in fractional coordinates, are Cr at (0.0000, 0.0000, 0.1223), Cr at (0.0028, 0.5014, 0.8733), Cr at (0.0045, 0.5022, 0.6244) and Tc at (0.0000, 0.0000, 0.3707).

***

Q: Number 6 is which compound?
A: Cr7Tc

***

Repeat the fourth record exactly.
First-principles (PBE-GGA) data for a relaxed structure of TmMgIn2, as listed in the Alexandria database.

As for the total moment: 0.00 μB/f.u. Its formation enthalpy at 0 K is -258 meV per atom. For the total DFT energy (no corrections), the calculation gives -3.14 eV per atom.

The space group is P4/mmm (No. 123) and the conventional cell measures 3.654, 3.654 and 7.285 Å, with angles of 90.00, 90.00 and 90.00 degrees. The distinct sites, in fractional coordinates, are Tm at (0.000, 0.000, 0.000), Mg at (0.000, 0.000, 0.500) and In at (0.500, 0.500, 0.269).

***

Repeat the fifth record exactly.
First-principles (PBE-GGA) data for a relaxed structure of Sr2ZnI, as listed in the Alexandria database.

For the relative energy among the computed polymorphs, the calculation gives 16.0 meV/atom. The raw formation energy comes out at -2.7 eV/f.u. As for the total moment: 0.35 μB/f.u. For the total DFT energy (no corrections), the calculation gives -2.21 eV per atom.

The space group is R3m (No. 160, hexagonal axes) and the conventional cell measures 4.4594, 4.4594 and 26.5682 Å, with angles of 90.00, 90.00 and 120.00 degrees. The distinct sites, in fractional coordinates, are Sr at (0.0000, 0.0000, 0.0000), Sr at (0.0000, 0.0000, 0.1897), Zn at (0.0000, 0.0000, 0.5944) and I at (0.0000, 0.0000, 0.7631).